An optimized crystal structure of PaSeO4. Source: Alexandria via LeMat-Bulk, functional PBE.

For the formation energy without anion corrections, the calculation gives -2.05 eV/atom. The value obtained for the spin magnetization is 0.1682 μB/atom. The value obtained for the electronic total energy is -180.337 eV/cell. The value obtained for the density of states at the Fermi level is 2.3 states/eV per cell.

The structure belongs to space group I4_1/a (No. 88, origin choice 2); the cell edges are 5.4983, 5.4983 and 10.7183 Å and the angles 90.00°, 90.00° and 90.00°. The inequivalent atoms are Pa at (0.0000, 0.2500, 0.1250), Se at (0.0000, 0.2500, 0.6250) and O at (0.1697, 0.4388, 0.3187).

An optimized crystal structure of Pa2Se2O. Source: Alexandria via LeMat-Bulk, functional PBE.

For the formation energy without anion corrections, the calculation gives -1.87 eV/atom. The value obtained for the spin magnetization is 0.3178 μB/atom. The value obtained for the electronic total energy is -161.039 eV/cell. The value obtained for the density of states at the Fermi level is 33.3 states/eV per cell.

The structure belongs to space group Cmc2_1 (No. 36); the cell edges are 3.9088, 14.9764 and 7.4591 Å and the angles 90.00°, 90.00° and 90.00°. The inequivalent atoms are Pa at (0.0000, 0.0571, 0.0000), Pa at (0.0000, 0.3406, 0.8820), Se at (0.0000, 0.2912, 0.5067), Se at (0.0000, 0.4501, 0.1980) and O at (0.0000, 0.0909, 0.3305).